Record 1
A plane-wave DFT calculation with GGA-PBE was carried out for crystalline Ba2ZrTiIn at its relaxed geometry.

Results
Calculated volume, Å³ per atom: 44.66
Magnetization, Bohr magnetons per cell: 5.74
Space-group type: P4/mmm, No. 123

Cell: 6.480 5.318 6.480 Å, 90.00 90.00 90.00°
Last column: magnetic moment on the atom in μB.
Fractional coordinates of all 5 atoms:
Ti 0.000 0.500 0.000  1.55
Ba 0.000 0.000 0.500  0.10
Ba 0.500 0.000 0.000  0.08
Zr 0.500 0.500 0.500  1.54
In 0.000 0.000 0.000  0.03



Record 2
A plane-wave DFT calculation with GGA-PBE was carried out for crystalline Ba6Tl2In at its relaxed geometry.

Results
Calculated volume, Å³ per atom: 47.79
Magnetization, Bohr magnetons per cell: 0.77
Energy above the lowest structure with this stoichiometry, eV per atom: 0.000
Space-group type: Immm, No. 71

Cell: 10.396 10.396 10.396 Å, 104.82 110.47 113.24°
Fractional coordinates of all 18 atoms:
Ba 0.554 0.726 0.828
Ba 0.446 0.274 0.172
Ba 0.102 0.274 0.828
Ba 0.898 0.726 0.172
Ba 0.814 0.750 0.564
Ba 0.186 0.250 0.436
Ba 0.186 0.750 0.936
Ba 0.814 0.250 0.064
Ba 0.697 0.355 0.658
Ba 0.303 0.645 0.342
Ba 0.303 0.961 0.658
Ba 0.697 0.039 0.342
Tl 0.500 0.372 0.872
Tl 0.500 0.628 0.128
Tl 0.674 0.000 0.674
Tl 0.326 0.000 0.326
In 0.000 0.500 0.500
In 0.000 0.000 0.000



Record 3
A plane-wave DFT calculation with GGA-PBE was carried out for crystalline BaTlIn2 at its relaxed geometry.

Results
Calculated volume, Å³ per atom: 34.39
Magnetization, Bohr magnetons per cell: 0.00
Energy above the lowest structure with this stoichiometry, eV per atom: 0.120
Space-group type: Cmmm, No. 65

Cell: 4.010 6.338 6.338 Å, 121.34 90.00 90.00°
Fractional coordinates of all 4 atoms:
Ba 0.000 0.945 0.055
Tl 0.500 0.445 0.555
In 0.500 0.945 0.555
In 0.500 0.445 0.055



Record 4
A plane-wave DFT calculation with GGA-PBE was carried out for crystalline Ba2Tl6In at its relaxed geometry.

Results
Calculated volume, Å³ per atom: 33.51
Magnetization, Bohr magnetons per cell: 0.00
Energy above the lowest structure with this stoichiometry, eV per atom: 0.000
Space-group type: C2/m, No. 12

Cell: 6.818 7.147 7.147 Å, 59.98 89.97 89.97°
Fractional coordinates of all 9 atoms:
Ba 0.841 0.667 0.667
Ba 0.159 0.333 0.333
Tl 0.330 0.354 0.825
Tl 0.329 0.823 0.823
Tl 0.330 0.825 0.354
Tl 0.670 0.646 0.175
Tl 0.671 0.177 0.177
Tl 0.670 0.175 0.646
In 0.000 0.000 0.000



Record 5
A plane-wave DFT calculation with GGA-PBE was carried out for crystalline Ba2TlIn at its relaxed geometry.

Results
Calculated volume, Å³ per atom: 42.63
Magnetization, Bohr magnetons per cell: 0.47
Space-group type: P4mm, No. 99

Cell: 4.167 4.167 9.819 Å, 90.00 90.00 90.00°
Fractional coordinates of all 4 atoms:
Ba 0.000 0.000 0.931
Ba 0.500 0.500 0.318
In 0.000 0.000 0.545
Tl 0.500 0.500 0.706



Record 6
A plane-wave DFT calculation with GGA-PBE was carried out for crystalline BaTlIn3 at its relaxed geometry.

Results
Calculated volume, Å³ per atom: 39.00
Magnetization, Bohr magnetons per cell: 0.00
Energy above the lowest structure with this stoichiometry, eV per atom: 0.406
Space-group type: Pm-3m, No. 221

Cell: 5.799 5.799 5.799 Å, 90.00 90.00 90.00°
Fractional coordinates of all 5 atoms:
Tl 0.000 0.000 0.000
Ba 0.500 0.500 0.500
In 0.000 0.500 0.000
In 0.000 0.000 0.500
In 0.500 0.000 0.000



Computed values of energy of formation from the pure elements (unit: eV per atom) for the preceding records, in sequence: 1.026 -0.257 -0.198 -0.306 -0.206 0.091.